# 1
# SiAg4As

SiAg4As after structural relaxation (PBE-GGA, the Alexandria database).

## Properties
The energy relative to the elements, uncorrected is 42.39 kJ per mole of atoms.

Lattice parameters (Å, degrees): 5.4823 5.4823 5.4823 60.00 60.00 60.00
Fractional positions:
Ag: 0.3749 0.3749 0.8754
Ag: 0.8754 0.3749 0.3749
Ag: 0.3749 0.3749 0.3749
Ag: 0.3749 0.8754 0.3749
As: 0.7500 0.7500 0.7500
Si: 0.0000 0.0000 0.0000

=====

# 2
# In2FeTe

In2FeTe after structural relaxation (PBE-GGA, the Alexandria database).

## Properties
The energy relative to the elements, uncorrected is 33.11 kJ per mole of atoms.

Lattice parameters (Å, degrees): 6.2744 6.2744 4.0402 72.30 72.30 125.18
Each line ends with the local moment (μB).
Fractional positions:
Te: 0.5000 0.0000 0.5000  0.05
In: 0.5000 0.5000 0.0000  0.00
In: 0.0000 0.0000 0.0000  0.00
Fe: 0.0000 0.5000 0.5000  3.05

=====

# 3
# AcPm6Pr6

AcPm6Pr6 after structural relaxation (PBE-GGA, the Alexandria database).

## Properties
Its formation energy is 0.23 eV per atom.

Lattice parameters (Å, degrees): 6.8616 6.8616 11.7420 90.00 90.00 120.00
Fractional positions:
Pr: 0.0000 0.5000 0.2511
Pr: 0.5000 0.5000 0.2511
Pr: 0.0000 0.5000 0.7489
Pr: 0.5000 0.0000 0.2511
Pr: 0.5000 0.5000 0.7489
Pr: 0.5000 0.0000 0.7489
Pm: 0.6667 0.3333 0.0000
Pm: 0.6667 0.3333 0.5000
Pm: 0.3333 0.6667 0.0000
Pm: 0.0000 0.0000 0.6421
Pm: 0.0000 0.0000 0.3579
Pm: 0.3333 0.6667 0.5000
Ac: 0.0000 0.0000 0.0000

=====

# 4
# Sr4ScSi

Sr4ScSi after structural relaxation (PBE-GGA, the Alexandria database).

## Properties
The energy relative to the elements, uncorrected is 71.43 kJ per mole of atoms.

Lattice parameters (Å, degrees): 6.9535 6.9535 6.9535 60.00 60.00 60.00
Each line ends with the local moment (μB).
Fractional positions:
Sr: 0.8750 0.3750 0.3750  0.04
Sr: 0.3750 0.8750 0.3750  0.04
Sr: 0.3750 0.3750 0.3750  0.04
Sr: 0.3750 0.3750 0.8750  0.04
Si: 0.0000 0.0000 0.0000  0.00
Sc: 0.7500 0.7500 0.7500  0.56

=====

# 5
# Ce7ReI12

Ce7ReI12 after structural relaxation (PBE-GGA, the Alexandria database).

## Properties
The energy relative to the elements, uncorrected is -108.13 kJ per mole of atoms.

Lattice parameters (Å, degrees): 10.9364 10.0277 10.0277 107.56 111.32 111.32
Each line ends with the local moment (μB).
Fractional positions:
I: 0.6839 0.6086 0.4571  -0.01
I: 0.3883 0.2352 0.9180  -0.01
I: 0.9247 0.1515 0.6086  -0.01
I: 0.0753 0.8485 0.3914  -0.01
I: 0.5296 0.9180 0.6827  -0.01
I: 0.7732 0.4571 0.8485  -0.01
I: 0.8469 0.3173 0.2352  -0.01
I: 0.2268 0.5429 0.1515  -0.01
I: 0.6117 0.7648 0.0820  -0.01
I: 0.4704 0.0820 0.3173  -0.01
I: 0.1531 0.6827 0.7648  -0.01
I: 0.3161 0.3914 0.5429  -0.01
Ce: 0.0328 0.9283 0.7263  1.14
Ce: 0.9672 0.0717 0.2737  1.14
Ce: 0.6935 0.7263 0.7980  1.14
Ce: 0.8955 0.2020 0.9283  1.14
Ce: 0.3065 0.2737 0.2020  1.14
Ce: 0.1045 0.7980 0.0717  1.14
Ce: 0.5000 0.0000 0.0000  1.31
Re: 0.0000 0.0000 0.0000  -0.18

=====

# 6
# Ce2Cd3Au2

Ce2Cd3Au2 after structural relaxation (PBE-GGA, the Alexandria database).

## Properties
Its formation energy is -0.40 eV per atom.

Lattice parameters (Å, degrees): 4.3483 5.6954 7.5452 92.37 90.00 112.44
Each line ends with the local moment (μB).
Fractional positions:
Au: 0.0986 0.1973 0.6372  0.00
Au: 0.9014 0.8027 0.3628  0.00
Cd: 0.0000 0.0000 0.0000  0.01
Cd: 0.3138 0.6276 0.1245  0.00
Cd: 0.6862 0.3724 0.8755  0.00
Ce: 0.6182 0.2364 0.3376  0.87
Ce: 0.3818 0.7636 0.6624  0.87

=====

# 7
# Ho8Zn2Ru

Ho8Zn2Ru after structural relaxation (PBE-GGA, the Alexandria database).

## Properties
The calculation puts the energy relative to the lowest polymorph listed for this composition at 124 meV per atom. Its formation energy is -0.09 eV per atom.

Lattice parameters (Å, degrees): 4.9240 8.2941 8.4135 119.53 107.02 90.00
Fractional positions:
Ho: 0.0000 0.3294 0.0000
Ho: 0.0000 0.6706 0.0000
Ho: 0.6551 0.8801 0.3102
Ho: 0.6551 0.4301 0.3102
Ho: 0.1230 0.1230 0.2460
Ho: 0.8770 0.8770 0.7540
Ho: 0.3449 0.1199 0.6898
Ho: 0.3449 0.5699 0.6898
Ru: 0.5000 0.0000 0.0000
Zn: 0.1963 0.6963 0.3925
Zn: 0.8037 0.3037 0.6075

=====

# 8
# TaHg2

TaHg2 after structural relaxation (PBE-GGA, the Alexandria database).

## Properties
Its formation energy is 0.39 eV per atom.

Lattice parameters (Å, degrees): 8.1885 8.1885 5.0339 90.00 90.00 158.78
Fractional positions:
Hg: 0.7876 0.2124 0.7500
Hg: 0.2124 0.7876 0.2500
Hg: 0.1073 0.8927 0.7500
Hg: 0.8927 0.1073 0.2500
Ta: 0.5496 0.4504 0.2500
Ta: 0.4504 0.5496 0.7500

=====

# 9
# MgAlW2

MgAlW2 after structural relaxation (PBE-GGA, the Alexandria database).

## Properties
The calculation puts the energy relative to the lowest polymorph listed for this composition at 103 meV per atom. Its formation energy is 0.26 eV per atom.

Lattice parameters (Å, degrees): 4.8836 4.8836 5.1232 84.83 84.83 32.58
Fractional positions:
Al: 0.4949 0.4949 0.4964
Mg: 0.2480 0.2480 0.2586
W: 0.7560 0.7560 0.7567
W: 0.0012 0.0012 0.9884

=====

# 10
# HfCrAg2

HfCrAg2 after structural relaxation (PBE-GGA, the Alexandria database).

## Properties
The calculation puts the energy relative to the lowest polymorph listed for this composition at 0 meV per atom. Its formation energy is 0.28 eV per atom.

Lattice parameters (Å, degrees): 4.7002 4.7002 4.7002 60.00 60.00 60.00
Each line ends with the local moment (μB).
Fractional positions:
Cr: 0.0000 0.0000 0.0000  3.59
Ag: 0.7500 0.7500 0.7500  0.04
Ag: 0.2500 0.2500 0.2500  0.04
Hf: 0.5000 0.5000 0.5000  0.06

=====

# 11
# Ir2W

Ir2W after structural relaxation (PBE-GGA, the Alexandria database).

## Properties
Its formation energy is -0.30 eV per atom.

Lattice parameters (Å, degrees): 4.8422 4.8422 4.3927 90.00 90.00 119.52
Fractional positions:
W: 0.1724 0.1724 0.2500
W: 0.8276 0.8276 0.7500
Ir: 0.5059 0.1669 0.7500
Ir: 0.1669 0.5059 0.7500
Ir: 0.8330 0.4941 0.2500
Ir: 0.4941 0.8330 0.2500

=====

# 12
# Tb3PmPu2Se6

Tb3PmPu2Se6 after structural relaxation (PBE-GGA, the Alexandria database).

## Properties
The energy relative to the elements, uncorrected is -166.63 kJ per mole of atoms.

Lattice parameters (Å, degrees): 7.1316 7.1316 7.1844 99.52 99.52 120.05
Each line ends with the local moment (μB).
Fractional positions:
Se: 0.7481 0.7481 0.2551  -0.03
Se: 0.4220 0.0853 0.2554  -0.03
Se: 0.0853 0.4220 0.2554  -0.03
Se: 0.5780 0.9147 0.7446  -0.03
Se: 0.9147 0.5780 0.7446  -0.03
Se: 0.2519 0.2519 0.7449  -0.03
Pu: 0.6669 0.3331 0.0000  5.47
Pu: 0.3331 0.6669 0.0000  5.47
Tb: 0.8346 0.1654 0.5000  0.02
Tb: 0.1654 0.8346 0.5000  0.02
Tb: 0.5000 0.5000 0.5000  0.01
Pm: 0.0000 0.0000 0.0000  0.06

=====

# 13
# SrZrGeTe2

SrZrGeTe2 after structural relaxation (PBE-GGA, the Alexandria database).

## Properties
The energy relative to the elements, uncorrected is 41.10 kJ per mole of atoms.

Lattice parameters (Å, degrees): 5.5820 5.4577 5.5820 90.00 90.00 90.00
Each line ends with the local moment (μB).
Fractional positions:
Sr: 0.0000 0.5000 0.0000  0.04
Te: 0.0000 0.0000 0.5000  -0.07
Te: 0.5000 0.0000 0.0000  -0.08
Ge: 0.0000 0.0000 0.0000  -0.04
Zr: 0.5000 0.5000 0.5000  1.44

=====

# 14
# SmEuY2

SmEuY2 after structural relaxation (PBE-GGA, the Alexandria database).

## Properties
The calculation puts the energy relative to the lowest polymorph listed for this composition at 0 meV per atom. Its formation energy is 0.06 eV per atom.

Lattice parameters (Å, degrees): 3.6597 3.6597 10.3439 90.00 90.00 90.00
Each line ends with the local moment (μB).
Fractional positions:
Y: 0.0000 0.0000 0.2360  -0.09
Y: 0.0000 0.0000 0.7640  -0.09
Sm: 0.5000 0.5000 0.0000  0.04
Eu: 0.5000 0.5000 0.5000  -6.96

=====

# 15
# MnCdCo2Bi

MnCdCo2Bi after structural relaxation (PBE-GGA, the Alexandria database).

## Properties
Its formation energy is 1.25 eV per atom.

Lattice parameters (Å, degrees): 4.7597 4.9103 4.7597 90.00 90.00 90.00
Each line ends with the local moment (μB).
Fractional positions:
Cd: 0.0000 0.0000 0.0000  -0.05
Mn: 0.0000 0.5000 0.0000  3.98
Co: 0.0000 0.0000 0.5000  1.73
Co: 0.5000 0.0000 0.0000  1.70
Bi: 0.5000 0.5000 0.5000  -0.13

=====

# 16
# SrAgAsRh

SrAgAsRh after structural relaxation (PBE-GGA, the Alexandria database).

## Properties
Its formation energy is -0.58 eV per atom.

Lattice parameters (Å, degrees): 4.0433 4.0433 11.2096 90.00 90.00 90.00
Fractional positions:
As: 0.2500 0.2500 0.1298
As: 0.7500 0.7500 0.8702
Ag: 0.7500 0.2500 0.5000
Ag: 0.2500 0.7500 0.5000
Rh: 0.2500 0.7500 0.0000
Rh: 0.7500 0.2500 0.0000
Sr: 0.7500 0.7500 0.2546
Sr: 0.2500 0.2500 0.7454

=====

# 17
# TlCrTc2

TlCrTc2 after structural relaxation (PBE-GGA, the Alexandria database).

## Properties
The calculation puts the energy relative to the lowest polymorph listed for this composition at 239 meV per atom. Its formation energy is 0.67 eV per atom.

Lattice parameters (Å, degrees): 4.5161 4.5161 4.5161 60.00 60.00 60.00
Each line ends with the local moment (μB).
Fractional positions:
Tc: 0.0000 0.0000 0.0000  0.05
Tc: 0.7500 0.7500 0.7500  0.25
Cr: 0.5000 0.5000 0.5000  2.88
Tl: 0.2500 0.2500 0.2500  0.00

=====

# 18
# LiHoPd4Pb2

LiHoPd4Pb2 after structural relaxation (PBE-GGA, the Alexandria database).

## Properties
Its formation energy is -0.54 eV per atom.

Lattice parameters (Å, degrees): 4.7398 4.7398 8.2291 73.26 73.26 60.00
Fractional positions:
Li: 0.5000 0.5000 0.5000
Pd: 0.1244 0.1244 0.6268
Pd: 0.8756 0.8756 0.3732
Pd: 0.3778 0.3778 0.8666
Pd: 0.6222 0.6222 0.1334
Pb: 0.2454 0.2454 0.2637
Pb: 0.7546 0.7546 0.7363
Ho: 0.0000 0.0000 0.0000

=====

# 19
# MgAs2Cl

MgAs2Cl after structural relaxation (PBE-GGA, the Alexandria database).

## Properties
The calculation puts the energy relative to the lowest polymorph listed for this composition at 22 meV per atom. The energy relative to the elements, uncorrected is -55.31 kJ per mole of atoms.

Lattice parameters (Å, degrees): 3.5978 4.1393 7.9214 83.81 90.00 90.00
Fractional positions:
Cl: 0.0000 0.6050 0.5922
As: 0.0000 0.9431 0.0242
As: 0.5000 0.3038 0.0976
Mg: 0.5000 0.6482 0.7860

=====

# 20
# LaZn12Rh4

LaZn12Rh4 after structural relaxation (PBE-GGA, the Alexandria database).

## Properties
Its formation energy is 0.04 eV per atom.

Lattice parameters (Å, degrees): 7.5064 7.5064 7.5064 109.47 109.47 109.47
Fractional positions:
Zn: 0.1580 0.3524 0.5104
Zn: 0.3524 0.5104 0.1580
Zn: 0.8420 0.6476 0.4896
Zn: 0.5104 0.1580 0.3524
Zn: 0.4896 0.8420 0.6476
Zn: 0.3524 0.1944 0.8420
Zn: 0.8056 0.1580 0.6476
Zn: 0.8420 0.3524 0.1944
Zn: 0.6476 0.4896 0.8420
Zn: 0.1944 0.8420 0.3524
Zn: 0.6476 0.8056 0.1580
Zn: 0.1580 0.6476 0.8056
Rh: 0.0000 0.0000 0.5000
Rh: 0.5000 0.5000 0.5000
Rh: 0.0000 0.5000 0.0000
Rh: 0.5000 0.0000 0.0000
La: 0.0000 0.0000 0.0000

=====

| no. | magnetic moment (μB/atom) | V (A^3/atom) |
| --- | --- | --- |
| 1 | 0.00 | 19.42 |
| 2 | 0.81 | 24.40 |
| 3 | 0.00 | 36.83 |
| 4 | 0.28 | 39.62 |
| 5 | 0.54 | 41.33 |
| 6 | 0.30 | 24.65 |
| 7 | 0.00 | 25.60 |
| 8 | 0.00 | 20.36 |
| 9 | 0.00 | 16.37 |
| 10 | 1.06 | 18.36 |
| 11 | 0.00 | 14.94 |
| 12 | 0.98 | 24.87 |
| 13 | 0.45 | 34.01 |
| 14 | 1.93 | 34.63 |
| 15 | 1.48 | 22.25 |
| 16 | 0.00 | 22.91 |
| 17 | 0.86 | 16.28 |
| 18 | 0.00 | 18.87 |
| 19 | 0.00 | 29.32 |
| 20 | 0.00 | 19.15 |